(1)
The following is a PBE calculation of a relaxed structure of RbNa2Ag, from Alexandria.

Structure (POSCAR):
```
RbNa2Ag
1.0
5.3777 0.0000 0.0000
-2.6888 4.6572 0.0000
0.0000 0.0000 19.5945
Rb Na Ag
3 6 3
Direct
0.0000 0.0000 0.0000
0.3333 0.6667 0.6667
0.6667 0.3333 0.3333
0.0000 0.0000 0.1971
0.0000 0.0000 0.4697
0.3333 0.6667 0.1363
0.3333 0.6667 0.8638
0.6667 0.3333 0.5304
0.6667 0.3333 0.8030
0.0000 0.0000 0.8074
0.3333 0.6667 0.4741
0.6667 0.3333 0.1407
```

Output
Energy above the lowest structure with this stoichiometry ... 0.031 eV/atom
Energy of formation ... 44 meV/atom
SG ... R3m, No. 160
Magnetization ... 0.000 Bohr magnetons per cell

=====

(2)
The following is a PBE calculation of a relaxed structure of Y2Zn2Ir, from Alexandria.

Structure (POSCAR):
```
Y2Zn2Ir
1.0
6.9143 0.0000 0.0000
0.0000 6.9143 0.0000
0.0000 0.0000 4.2647
Y Zn Ir
4 4 2
Direct
0.1840 0.3160 0.0000
0.3160 0.8160 0.0000
0.6840 0.1840 0.0000
0.8160 0.6840 0.0000
0.1257 0.6257 0.5000
0.3743 0.1257 0.5000
0.6257 0.8743 0.5000
0.8743 0.3743 0.5000
0.0000 0.0000 0.5000
0.5000 0.5000 0.5000
```

Output
Energy above the lowest structure with this stoichiometry ... 0.151 eV/atom
Energy of formation ... -379 meV/atom
SG ... P4/mbm, No. 127
Magnetization ... 0.000 Bohr magnetons per cell

=====

(3)
The following is a PBE calculation of a relaxed structure of CaAcSbTe, from Alexandria.

Structure (POSCAR):
```
CaAcSbTe
1.0
8.0350 0.0000 0.0000
0.0000 8.0350 0.0000
0.0000 0.0000 8.0350
Ca Ac Sb Te
4 4 4 4
Direct
0.0000 0.0000 0.0000
0.0000 0.5000 0.5000
0.5000 0.0000 0.5000
0.5000 0.5000 0.0000
0.0000 0.0000 0.5000
0.0000 0.5000 0.0000
0.5000 0.0000 0.0000
0.5000 0.5000 0.5000
0.2500 0.2500 0.2500
0.2500 0.7500 0.7500
0.7500 0.2500 0.7500
0.7500 0.7500 0.2500
0.2500 0.2500 0.7500
0.2500 0.7500 0.2500
0.7500 0.2500 0.2500
0.7500 0.7500 0.7500
```

Output
Energy above the lowest structure with this stoichiometry ... 0.223 eV/atom
SG ... F-43m, No. 216
Magnetization ... 0.000 Bohr magnetons per cell

=====

- Which of these has the lowest energy above the lowest structure with this stoichiometry?
  RbNa2Ag

=====

Please write out number 1 again, unchanged.
The following is a PBE calculation of a relaxed structure of RbNa2Ag, from Alexandria.

Structure (POSCAR):
```
RbNa2Ag
1.0
5.3777 0.0000 0.0000
-2.6888 4.6572 0.0000
0.0000 0.0000 19.5945
Rb Na Ag
3 6 3
Direct
0.0000 0.0000 0.0000
0.3333 0.6667 0.6667
0.6667 0.3333 0.3333
0.0000 0.0000 0.1971
0.0000 0.0000 0.4697
0.3333 0.6667 0.1363
0.3333 0.6667 0.8638
0.6667 0.3333 0.5304
0.6667 0.3333 0.8030
0.0000 0.0000 0.8074
0.3333 0.6667 0.4741
0.6667 0.3333 0.1407
```

Output
Energy above the lowest structure with this stoichiometry ... 0.031 eV/atom
Energy of formation ... 44 meV/atom
SG ... R3m, No. 160
Magnetization ... 0.000 Bohr magnetons per cell